[1]
{
  "formula": "LiP3W2O12",
  "functional": "meta-GGA SCAN",
  "state": "PBEsol geometry",
  "space_group": "No. 57",
  "raw_formation_energy_kj_per_mol_atoms": -214.07,
  "de_polymorph_ev_per_atom": 0.013,
  "lattice_angstrom": [[8.935, 0.000, 0.000], [0.000, 9.092, 0.000], [0.000, 0.000, 12.305]],
  "species": ["Li", "Li", "Li", "Li", "P", "P", "P", "P", "P", "P", "P", "P", "P", "P", "P", "P", "W", "W", "W", "W", "W", "W", "W", "W", "O", "O", "O", "O", "O", "O", "O", "O", "O", "O", "O", "O", "O", "O", "O", "O", "O", "O", "O", "O", "O", "O", "O", "O", "O", "O", "O", "O", "O", "O", "O", "O", "O", "O", "O", "O", "O", "O", "O", "O", "O", "O", "O", "O", "O", "O", "O", "O"],
  "fractional_positions": [[0.130, 0.201, 0.250], [0.130, 0.299, 0.750], [0.870, 0.701, 0.250], [0.870, 0.799, 0.750], [0.031, 0.250, 0.000], [0.031, 0.250, 0.500], [0.401, 0.630, 0.131], [0.401, 0.630, 0.369], [0.401, 0.870, 0.631], [0.401, 0.870, 0.869], [0.599, 0.130, 0.131], [0.599, 0.130, 0.369], [0.599, 0.370, 0.631], [0.599, 0.370, 0.869], [0.969, 0.750, 0.000], [0.969, 0.750, 0.500], [0.247, 0.524, 0.599], [0.247, 0.524, 0.901], [0.247, 0.976, 0.099], [0.247, 0.976, 0.401], [0.753, 0.024, 0.599], [0.753, 0.024, 0.901], [0.753, 0.476, 0.099], [0.753, 0.476, 0.401], [0.060, 0.639, 0.566], [0.060, 0.639, 0.934], [0.060, 0.861, 0.066], [0.060, 0.861, 0.434], [0.131, 0.172, 0.087], [0.131, 0.172, 0.413], [0.131, 0.328, 0.587], [0.131, 0.328, 0.913], [0.211, 0.514, 0.750], [0.211, 0.986, 0.250], [0.301, 0.533, 0.060], [0.301, 0.533, 0.440], [0.301, 0.967, 0.560], [0.301, 0.967, 0.940], [0.347, 0.580, 0.250], [0.347, 0.920, 0.750], [0.372, 0.707, 0.619], [0.372, 0.707, 0.881], [0.372, 0.793, 0.119], [0.372, 0.793, 0.381], [0.433, 0.102, 0.121], [0.433, 0.102, 0.379], [0.433, 0.398, 0.621], [0.433, 0.398, 0.879], [0.567, 0.602, 0.121], [0.567, 0.602, 0.379], [0.567, 0.898, 0.621], [0.567, 0.898, 0.879], [0.628, 0.207, 0.619], [0.628, 0.207, 0.881], [0.628, 0.293, 0.119], [0.628, 0.293, 0.381], [0.653, 0.080, 0.250], [0.653, 0.420, 0.750], [0.699, 0.033, 0.060], [0.699, 0.033, 0.440], [0.699, 0.467, 0.560], [0.699, 0.467, 0.940], [0.789, 0.014, 0.750], [0.789, 0.486, 0.250], [0.869, 0.672, 0.087], [0.869, 0.672, 0.413], [0.869, 0.828, 0.587], [0.869, 0.828, 0.913], [0.940, 0.139, 0.566], [0.940, 0.139, 0.934], [0.940, 0.361, 0.066], [0.940, 0.361, 0.434]]
}

[2]
{
  "formula": "LiP4WO12",
  "functional": "meta-GGA SCAN",
  "state": "PBEsol geometry",
  "space_group": "No. 20",
  "raw_formation_energy_kj_per_mol_atoms": -211.85,
  "de_polymorph_ev_per_atom": 0.036,
  "lattice_angstrom": [[4.599, -5.628, 0.000], [4.599, 5.628, 0.000], [0.000, 0.000, 18.717]],
  "species": ["Li", "Li", "Li", "Li", "P", "P", "P", "P", "P", "P", "P", "P", "P", "P", "P", "P", "P", "P", "P", "P", "W", "W", "W", "W", "O", "O", "O", "O", "O", "O", "O", "O", "O", "O", "O", "O", "O", "O", "O", "O", "O", "O", "O", "O", "O", "O", "O", "O", "O", "O", "O", "O", "O", "O", "O", "O", "O", "O", "O", "O", "O", "O", "O", "O", "O", "O", "O", "O", "O", "O", "O", "O"],
  "fractional_positions": [[0.143, 0.331, 0.349], [0.331, 0.143, 0.651], [0.669, 0.857, 0.151], [0.857, 0.669, 0.849], [0.078, 0.747, 0.369], [0.236, 0.729, 0.996], [0.241, 0.303, 0.189], [0.253, 0.922, 0.131], [0.271, 0.764, 0.504], [0.303, 0.241, 0.811], [0.381, 0.619, 0.750], [0.396, 0.396, 0.500], [0.604, 0.604, 0.000], [0.619, 0.381, 0.250], [0.697, 0.759, 0.311], [0.729, 0.236, 0.004], [0.747, 0.078, 0.631], [0.759, 0.697, 0.689], [0.764, 0.271, 0.496], [0.922, 0.253, 0.869], [0.073, 0.463, 0.616], [0.463, 0.073, 0.384], [0.537, 0.927, 0.884], [0.927, 0.537, 0.116], [0.047, 0.614, 0.015], [0.062, 0.804, 0.148], [0.092, 0.719, 0.455], [0.110, 0.575, 0.333], [0.136, 0.233, 0.868], [0.159, 0.447, 0.149], [0.171, 0.232, 0.260], [0.196, 0.570, 0.712], [0.196, 0.938, 0.352], [0.211, 0.735, 0.581], [0.232, 0.171, 0.740], [0.233, 0.136, 0.132], [0.265, 0.789, 0.919], [0.281, 0.908, 0.045], [0.291, 0.338, 0.569], [0.338, 0.291, 0.431], [0.386, 0.953, 0.485], [0.389, 0.603, 0.016], [0.397, 0.463, 0.809], [0.397, 0.611, 0.484], [0.425, 0.890, 0.167], [0.430, 0.804, 0.788], [0.447, 0.159, 0.851], [0.463, 0.397, 0.191], [0.537, 0.603, 0.691], [0.553, 0.841, 0.351], [0.570, 0.196, 0.288], [0.575, 0.110, 0.667], [0.603, 0.389, 0.984], [0.603, 0.537, 0.309], [0.611, 0.397, 0.516], [0.614, 0.047, 0.985], [0.662, 0.709, 0.931], [0.709, 0.662, 0.069], [0.719, 0.092, 0.545], [0.735, 0.211, 0.419], [0.767, 0.864, 0.632], [0.768, 0.829, 0.240], [0.789, 0.265, 0.081], [0.804, 0.062, 0.852], [0.804, 0.430, 0.212], [0.829, 0.768, 0.760], [0.841, 0.553, 0.649], [0.864, 0.767, 0.368], [0.890, 0.425, 0.833], [0.908, 0.281, 0.955], [0.938, 0.196, 0.648], [0.953, 0.386, 0.515]]
}

[3]
{
  "formula": "LiP2WO8",
  "functional": "meta-GGA SCAN",
  "state": "PBEsol geometry",
  "space_group": "No. 18",
  "raw_formation_energy_kj_per_mol_atoms": -223.09,
  "de_polymorph_ev_per_atom": 0.003,
  "lattice_angstrom": [[6.815, 0.000, 0.000], [0.000, 7.888, 0.000], [0.000, 0.000, 5.299]],
  "species": ["Li", "Li", "P", "P", "P", "P", "W", "W", "O", "O", "O", "O", "O", "O", "O", "O", "O", "O", "O", "O", "O", "O", "O", "O"],
  "fractional_positions": [[0.000, 0.000, 0.074], [0.500, 0.500, 0.926], [0.192, 0.319, 0.254], [0.308, 0.819, 0.746], [0.692, 0.181, 0.746], [0.808, 0.681, 0.254], [0.000, 0.500, 0.752], [0.500, 0.000, 0.248], [0.028, 0.196, 0.248], [0.099, 0.734, 0.751], [0.187, 0.437, 0.492], [0.195, 0.444, 0.020], [0.305, 0.944, 0.980], [0.313, 0.937, 0.508], [0.401, 0.234, 0.249], [0.472, 0.696, 0.752], [0.528, 0.304, 0.752], [0.599, 0.766, 0.249], [0.687, 0.063, 0.508], [0.695, 0.056, 0.980], [0.805, 0.556, 0.020], [0.813, 0.563, 0.492], [0.901, 0.266, 0.751], [0.972, 0.804, 0.248]]
}

[4]
{
  "formula": "LiP3W2O12",
  "functional": "meta-GGA SCAN",
  "state": "PBEsol geometry",
  "space_group": "No. 5",
  "raw_formation_energy_kj_per_mol_atoms": -215.26,
  "de_polymorph_ev_per_atom": 0.001,
  "lattice_angstrom": [[7.503, -4.373, 0.000], [7.503, 4.373, 0.000], [-4.950, 0.000, 7.110]],
  "species": ["Li", "Li", "P", "P", "P", "P", "P", "P", "W", "W", "W", "W", "O", "O", "O", "O", "O", "O", "O", "O", "O", "O", "O", "O", "O", "O", "O", "O", "O", "O", "O", "O", "O", "O", "O", "O"],
  "fractional_positions": [[0.248, 0.248, 0.250], [0.752, 0.752, 0.750], [0.167, 0.833, 0.000], [0.247, 0.753, 0.500], [0.457, 0.253, 0.708], [0.667, 0.042, 0.210], [0.747, 0.543, 0.292], [0.958, 0.333, 0.790], [0.067, 0.153, 0.390], [0.347, 0.433, 0.110], [0.567, 0.653, 0.890], [0.847, 0.933, 0.610], [0.013, 0.300, 0.631], [0.085, 0.789, 0.553], [0.121, 0.349, 0.979], [0.151, 0.023, 0.162], [0.203, 0.675, 0.057], [0.211, 0.915, 0.447], [0.267, 0.564, 0.337], [0.297, 0.232, 0.516], [0.325, 0.797, 0.943], [0.401, 0.290, 0.868], [0.436, 0.733, 0.663], [0.475, 0.203, 0.190], [0.511, 0.415, 0.744], [0.585, 0.489, 0.256], [0.621, 0.066, 0.691], [0.651, 0.879, 0.021], [0.700, 0.987, 0.369], [0.710, 0.599, 0.132], [0.768, 0.703, 0.484], [0.797, 0.525, 0.810], [0.825, 0.100, 0.248], [0.900, 0.175, 0.752], [0.934, 0.379, 0.309], [0.977, 0.849, 0.838]]
}

[5]
{
  "formula": "LiP4WO12",
  "functional": "meta-GGA SCAN",
  "state": "PBEsol geometry",
  "space_group": "No. 4",
  "raw_formation_energy_kj_per_mol_atoms": -211.73,
  "de_polymorph_ev_per_atom": 0.037,
  "lattice_angstrom": [[6.805, 0.000, 0.000], [0.000, 8.729, 0.000], [-0.807, 0.000, 7.213]],
  "species": ["Li", "Li", "P", "P", "P", "P", "P", "P", "P", "P", "W", "W", "O", "O", "O", "O", "O", "O", "O", "O", "O", "O", "O", "O", "O", "O", "O", "O", "O", "O", "O", "O", "O", "O", "O", "O"],
  "fractional_positions": [[0.216, 0.000, 0.335], [0.784, 0.500, 0.665], [0.070, 0.482, 0.378], [0.081, 0.831, 0.965], [0.428, 0.627, 0.931], [0.445, 0.324, 0.391], [0.555, 0.824, 0.609], [0.572, 0.127, 0.069], [0.919, 0.331, 0.035], [0.930, 0.982, 0.622], [0.237, 0.283, 0.744], [0.763, 0.783, 0.256], [0.004, 0.641, 0.325], [0.057, 0.442, 0.580], [0.060, 0.862, 0.744], [0.127, 0.292, 0.997], [0.185, 0.952, 0.079], [0.206, 0.675, 0.961], [0.291, 0.463, 0.327], [0.318, 0.206, 0.479], [0.376, 0.883, 0.502], [0.412, 0.476, 0.832], [0.446, 0.139, 0.886], [0.497, 0.258, 0.198], [0.503, 0.758, 0.802], [0.554, 0.639, 0.114], [0.588, 0.976, 0.168], [0.624, 0.383, 0.498], [0.682, 0.706, 0.521], [0.709, 0.963, 0.673], [0.794, 0.175, 0.039], [0.815, 0.452, 0.921], [0.873, 0.792, 0.003], [0.940, 0.362, 0.256], [0.943, 0.942, 0.420], [0.996, 0.141, 0.675]]
}

[6]
{
  "formula": "Li3P3W2O12",
  "functional": "meta-GGA SCAN",
  "state": "PBEsol geometry",
  "space_group": "No. 148",
  "raw_formation_energy_kj_per_mol_atoms": -210.60,
  "de_polymorph_ev_per_atom": 0.000,
  "lattice_angstrom": [[4.249, 2.453, 7.647], [-4.249, 2.453, 7.647], [0.000, -4.907, 7.647]],
  "species": ["Li", "Li", "Li", "Li", "Li", "Li", "P", "P", "P", "P", "P", "P", "W", "W", "W", "W", "O", "O", "O", "O", "O", "O", "O", "O", "O", "O", "O", "O", "O", "O", "O", "O", "O", "O", "O", "O", "O", "O", "O", "O"],
  "fractional_positions": [[0.166, 0.767, 0.424], [0.233, 0.576, 0.834], [0.424, 0.166, 0.767], [0.576, 0.834, 0.233], [0.767, 0.424, 0.166], [0.834, 0.233, 0.576], [0.047, 0.461, 0.748], [0.252, 0.953, 0.539], [0.461, 0.748, 0.047], [0.539, 0.252, 0.953], [0.748, 0.047, 0.461], [0.953, 0.539, 0.252], [0.152, 0.152, 0.152], [0.355, 0.355, 0.355], [0.645, 0.645, 0.645], [0.848, 0.848, 0.848], [0.002, 0.342, 0.965], [0.035, 0.998, 0.658], [0.060, 0.649, 0.706], [0.102, 0.490, 0.314], [0.249, 0.353, 0.633], [0.294, 0.940, 0.351], [0.314, 0.102, 0.490], [0.342, 0.965, 0.002], [0.351, 0.294, 0.940], [0.353, 0.633, 0.249], [0.367, 0.751, 0.647], [0.490, 0.314, 0.102], [0.510, 0.686, 0.898], [0.633, 0.249, 0.353], [0.647, 0.367, 0.751], [0.649, 0.706, 0.060], [0.658, 0.035, 0.998], [0.686, 0.898, 0.510], [0.706, 0.060, 0.649], [0.751, 0.647, 0.367], [0.898, 0.510, 0.686], [0.940, 0.351, 0.294], [0.965, 0.002, 0.342], [0.998, 0.658, 0.035]]
}

[7]
{
  "formula": "LiP4WO12",
  "functional": "meta-GGA SCAN",
  "state": "PBEsol geometry",
  "space_group": "No. 12",
  "raw_formation_energy_kj_per_mol_atoms": -212.05,
  "de_polymorph_ev_per_atom": 0.034,
  "lattice_angstrom": [[8.706, -6.171, 0.000], [8.706, 6.171, 0.000], [-1.162, 0.000, 5.170]],
  "species": ["Li", "Li", "P", "P", "P", "P", "P", "P", "P", "P", "W", "W", "O", "O", "O", "O", "O", "O", "O", "O", "O", "O", "O", "O", "O", "O", "O", "O", "O", "O", "O", "O", "O", "O", "O", "O"],
  "fractional_positions": [[0.091, 0.091, 0.019], [0.909, 0.909, 0.981], [0.134, 0.710, 0.328], [0.198, 0.436, 0.039], [0.290, 0.866, 0.672], [0.436, 0.198, 0.039], [0.564, 0.802, 0.961], [0.710, 0.134, 0.328], [0.802, 0.564, 0.961], [0.866, 0.290, 0.672], [0.000, 0.500, 0.500], [0.500, 0.000, 0.500], [0.060, 0.666, 0.497], [0.060, 0.822, 0.178], [0.104, 0.404, 0.183], [0.172, 0.417, 0.750], [0.178, 0.940, 0.822], [0.210, 0.581, 0.139], [0.265, 0.735, 0.500], [0.334, 0.940, 0.503], [0.349, 0.349, 0.123], [0.404, 0.104, 0.183], [0.417, 0.172, 0.750], [0.419, 0.790, 0.861], [0.581, 0.210, 0.139], [0.583, 0.828, 0.250], [0.596, 0.896, 0.817], [0.651, 0.651, 0.877], [0.666, 0.060, 0.497], [0.735, 0.265, 0.500], [0.790, 0.419, 0.861], [0.822, 0.060, 0.178], [0.828, 0.583, 0.250], [0.896, 0.596, 0.817], [0.940, 0.178, 0.822], [0.940, 0.334, 0.503]]
}

[8]
{
  "formula": "LiP4WO12",
  "functional": "meta-GGA SCAN",
  "state": "PBEsol geometry",
  "space_group": "No. 15",
  "raw_formation_energy_kj_per_mol_atoms": -215.29,
  "de_polymorph_ev_per_atom": 0.000,
  "lattice_angstrom": [[5.943, -4.164, 0.000], [5.943, 4.164, 0.000], [-4.860, 0.000, 8.895]],
  "species": ["Li", "Li", "P", "P", "P", "P", "P", "P", "P", "P", "W", "W", "O", "O", "O", "O", "O", "O", "O", "O", "O", "O", "O", "O", "O", "O", "O", "O", "O", "O", "O", "O", "O", "O", "O", "O"],
  "fractional_positions": [[0.030, 0.970, 0.750], [0.970, 0.030, 0.250], [0.253, 0.727, 0.025], [0.273, 0.747, 0.475], [0.301, 0.317, 0.806], [0.317, 0.301, 0.306], [0.683, 0.699, 0.694], [0.699, 0.683, 0.194], [0.727, 0.253, 0.525], [0.747, 0.273, 0.975], [0.000, 0.500, 0.500], [0.500, 0.000, 0.000], [0.090, 0.849, 0.096], [0.121, 0.294, 0.323], [0.151, 0.910, 0.404], [0.193, 0.341, 0.653], [0.199, 0.698, 0.577], [0.207, 0.502, 0.929], [0.294, 0.121, 0.823], [0.302, 0.801, 0.923], [0.330, 0.533, 0.349], [0.341, 0.193, 0.153], [0.467, 0.670, 0.151], [0.498, 0.793, 0.571], [0.502, 0.207, 0.429], [0.533, 0.330, 0.849], [0.659, 0.807, 0.847], [0.670, 0.467, 0.651], [0.698, 0.199, 0.077], [0.706, 0.879, 0.177], [0.793, 0.498, 0.071], [0.801, 0.302, 0.423], [0.807, 0.659, 0.347], [0.849, 0.090, 0.596], [0.879, 0.706, 0.677], [0.910, 0.151, 0.904]]
}